Density functional theory data (PBE) for an optimized crystal structure of ScTlCo2.

```
ScTlCo2
1.0
-0.740 -2.162 3.070
3.677 -0.827 0.304
2.455 3.342 2.945
Tl Co Sc
1 2 1
direct
0.500 0.779 0.817 Tl
0.000 0.181 0.013 Co
0.500 0.060 0.255 Co
0.000 0.480 0.416 Sc
```

## Properties
* total magnetization: 1.5 μB per cell
* ρ: 8927 kg/m3
* energy relative to the elements: 0.04 eV per atom